# Sc3Cd4Ag4 (PBE, relaxed)
data_Sc3Cd4Ag4
_chemical_formula_sum 'Sc3 Cd4 Ag4'
_symmetry_space_group_name_H-M 'P 1'
_symmetry_Int_Tables_number 1
_cell_length_a 3.108
_cell_length_b 4.849
_cell_length_c 15.266
_cell_angle_alpha 80.86
_cell_angle_beta 84.09
_cell_angle_gamma 89.96
loop_
_symmetry_equiv_pos_as_xyz
'x,y,z'
loop_
_atom_site_label
_atom_site_type_symbol
_atom_site_fract_x
_atom_site_fract_y
_atom_site_fract_z
Sc1 Sc 0.861 0.361 0.277
Sc2 Sc 0.000 0.000 0.000
Sc3 Sc 0.139 0.639 0.723
Ag1 Ag 0.592 0.092 0.817
Ag2 Ag 0.408 0.908 0.183
Ag3 Ag 0.269 0.269 0.463
Ag4 Ag 0.731 0.731 0.538
Cd1 Cd 0.315 0.816 0.368
Cd2 Cd 0.453 0.453 0.094
Cd3 Cd 0.685 0.184 0.632
Cd4 Cd 0.548 0.547 0.906
# ΔE_f   -1.9 eV/f.u.
# Total moment   0.20 Bohr magnetons per cell

# ScCdAg (PBE, relaxed)
data_ScCdAg
_chemical_formula_sum 'Sc1 Cd1 Ag1'
_symmetry_space_group_name_H-M 'P 1'
_symmetry_Int_Tables_number 1
_cell_length_a 3.278
_cell_length_b 3.278
_cell_length_c 6.964
_cell_angle_alpha 90.00
_cell_angle_beta 90.00
_cell_angle_gamma 120.00
loop_
_symmetry_equiv_pos_as_xyz
'x,y,z'
loop_
_atom_site_label
_atom_site_type_symbol
_atom_site_fract_x
_atom_site_fract_y
_atom_site_fract_z
Ag1 Ag 0.000 0.000 0.997
Sc1 Sc 0.667 0.333 0.676
Cd1 Cd 0.333 0.667 0.326
# ΔE_f   -0.2 eV/f.u.
# Total moment   0.00 Bohr magnetons per cell

# Sc3CdAg4 (PBE, relaxed)
data_Sc3CdAg4
_chemical_formula_sum 'Sc6 Cd2 Ag8'
_symmetry_space_group_name_H-M 'P 1'
_symmetry_Int_Tables_number 1
_cell_length_a 4.825
_cell_length_b 6.852
_cell_length_c 9.650
_cell_angle_alpha 90.00
_cell_angle_beta 90.00
_cell_angle_gamma 90.00
loop_
_symmetry_equiv_pos_as_xyz
'x,y,z'
loop_
_atom_site_label
_atom_site_type_symbol
_atom_site_fract_x
_atom_site_fract_y
_atom_site_fract_z
Sc1 Sc 0.000 0.000 0.500
Sc2 Sc 0.501 0.500 0.750
Sc3 Sc 0.499 0.500 0.250
Sc4 Sc 0.000 0.000 0.000
Sc5 Sc 0.500 0.000 0.750
Sc6 Sc 0.500 0.000 0.250
Ag1 Ag 0.999 0.244 0.250
Ag2 Ag 0.500 0.244 0.000
Ag3 Ag 0.001 0.756 0.750
Ag4 Ag 0.001 0.244 0.750
Ag5 Ag 0.500 0.244 0.500
Ag6 Ag 0.999 0.756 0.250
Ag7 Ag 0.500 0.756 0.000
Ag8 Ag 0.500 0.756 0.500
Cd1 Cd 0.000 0.500 0.500
Cd2 Cd 0.000 0.500 0.000
# ΔE_f   -1.8 eV/f.u.
# Total moment   0.00 Bohr magnetons per cell

# Sc2Cd3Ag2 (PBE, relaxed)
data_Sc2Cd3Ag2
_chemical_formula_sum 'Sc2 Cd3 Ag2'
_symmetry_space_group_name_H-M 'P 1'
_symmetry_Int_Tables_number 1
_cell_length_a 4.897
_cell_length_b 4.897
_cell_length_c 7.558
_cell_angle_alpha 89.15
_cell_angle_beta 109.58
_cell_angle_gamma 120.38
loop_
_symmetry_equiv_pos_as_xyz
'x,y,z'
loop_
_atom_site_label
_atom_site_type_symbol
_atom_site_fract_x
_atom_site_fract_y
_atom_site_fract_z
Cd1 Cd 0.000 0.000 0.000
Cd2 Cd 0.724 0.864 0.587
Cd3 Cd 0.276 0.136 0.413
Ag1 Ag 0.147 0.576 0.723
Ag2 Ag 0.853 0.424 0.277
Sc1 Sc 0.435 0.716 0.151
Sc2 Sc 0.565 0.284 0.849
# ΔE_f   -1.3 eV/f.u.
# Total moment   0.00 Bohr magnetons per cell

- Which formula does entry 2 have?
  ScCdAg